# 1
DFT (GGA-PBE) results for crystalline Ag2RuBr at its relaxed geometry.

Lattice parameters (Å, degrees): 2.934 2.934 9.845 90.00 90.00 116.94
Site moments in Bohr magnetons follow the coordinates.
Atoms (fractional coordinates):
Ru1 0.500 0.500 0.750  1.51
Br1 0.500 0.500 0.250  -0.01
Ag1 0.000 0.000 0.985  0.03
Ag2 0.000 0.000 0.515  0.03

Calculated values
energy	-3.59	eV per atom
E_form (uncorrected)	0.5695	eV/atom
DOS(E_F)	0.72	states/eV per atom


# 2
DFT (GGA-PBE) results for crystalline Al3CrSi at its relaxed geometry.

Lattice parameters (Å, degrees): 4.662 4.662 4.662 90.00 90.00 90.00
Site moments in Bohr magnetons follow the coordinates.
Atoms (fractional coordinates):
Cr1 0.500 0.500 0.500  0.27
Si1 0.000 0.000 0.000  -0.03
Al1 0.000 0.500 0.000  0.00
Al2 0.000 0.000 0.500  0.01
Al3 0.500 0.000 0.000  0.00

Calculated values
energy	-4.01	eV per atom
E_form (uncorrected)	1.2477	eV/atom
DOS(E_F)	1.25	states/eV per atom


# 3
DFT (GGA-PBE) results for crystalline ZrInTeO6 at its relaxed geometry.

Lattice parameters (Å, degrees): 5.472 5.472 9.297 90.00 90.00 120.00
Atoms (fractional coordinates):
Zr1 0.333 0.667 0.250
Zr2 0.667 0.333 0.750
In1 0.000 0.000 0.000
In2 0.000 0.000 0.500
Te1 0.667 0.333 0.250
Te2 0.333 0.667 0.750
O1 0.658 0.650 0.132
O2 0.991 0.342 0.132
O3 0.342 0.991 0.632
O4 0.009 0.658 0.868
O5 0.350 0.342 0.368
O6 0.991 0.650 0.368
O7 0.650 0.991 0.868
O8 0.658 0.009 0.368
O9 0.009 0.350 0.632
O10 0.350 0.009 0.132
O11 0.650 0.658 0.632
O12 0.342 0.350 0.868

Calculated values
energy	-6.67	eV per atom
E_form (uncorrected)	-1.7651	eV/atom
DOS(E_F)	0.51	states/eV per atom


# 4
DFT (GGA-PBE) results for crystalline NbBiMo3 at its relaxed geometry.

Lattice parameters (Å, degrees): 4.927 4.927 4.927 90.00 90.00 90.00
Atoms (fractional coordinates):
Mo1 0.000 0.500 0.000
Mo2 0.000 0.000 0.500
Mo3 0.500 0.000 0.000
Bi1 0.000 0.000 0.000
Nb1 0.500 0.500 0.500

Calculated values
calculated formation energy	2.49	eV per atom
energy	-6.80	eV per atom
DOS(E_F)	1.88	states/eV per atom